# Pm3ZnCl3 PBE-GGA relaxed
# Crystal system   cubic
# Uncorrected formation energy   -1.431 eV/atom
# Volume   27.54 A^3/atom
data_Pm3ZnCl3
_symmetry_space_group_name_H-M 'P m -3 m'
_symmetry_Int_Tables_number 221
_symmetry_space_group_name_Hall '-P 4 2 3'
_cell_length_a 5.777
_cell_length_b 5.777
_cell_length_c 5.777
_cell_angle_alpha 90.00
_cell_angle_beta 90.00
_cell_angle_gamma 90.00
loop_
_atom_site_label
_atom_site_fract_x
_atom_site_fract_y
_atom_site_fract_z
Pm1 0.000 0.000 0.500
Zn1 0.000 0.000 0.000
Cl1 0.000 0.500 0.500

***

# PmZrCl6 PBE-GGA relaxed
# Crystal system   monoclinic
# Uncorrected formation energy   -1.918 eV/atom
# Volume   32.47 A^3/atom
data_PmZrCl6
_symmetry_space_group_name_H-M 'C 1 2/m 1'
_symmetry_Int_Tables_number 12
_cell_length_a 6.549
_cell_length_b 12.765
_cell_length_c 6.528
_cell_angle_alpha 90.00
_cell_angle_beta 107.84
_cell_angle_gamma 90.00
loop_
_symmetry_equiv_pos_as_xyz
'x,y,z'
'-x,-y,-z'
'-x,y,-z'
'x,-y,z'
'x+1/2,y+1/2,z'
'-x+1/2,-y+1/2,-z'
'-x+1/2,y+1/2,-z'
'x+1/2,-y+1/2,z'
loop_
_atom_site_label
_atom_site_fract_x
_atom_site_fract_y
_atom_site_fract_z
Pm1 0.000 0.000 0.000
Zr1 0.000 0.500 0.500
Cl1 0.229 0.357 0.741
Cl2 0.247 0.500 0.268